The following is a DFT calculation (PBE) of Mn2BAs after structural relaxation.

Computed properties:
* excess energy over the best structure of this formula in the dataset: 0.0 kJ per mole of atoms
* DOS at the Fermi energy: 0.93 states/eV/atom
* magnetization: 1.6 μB/f.u.
* DFT formation energy: 273 meV/atom
* VASP energy: -7.144 eV/atom

Lattice parameters (Å, degrees): 3.8968 3.8968 3.8968 60.00 60.00 60.00
Fractional coordinates of all 4 atoms:
Mn  0.2500  0.2500  0.2500
Mn  0.7500  0.7500  0.7500
B  0.0000  0.0000  0.0000
As  0.5000  0.5000  0.5000


The following is a DFT calculation (PBE) of MnB3As after structural relaxation.

Computed properties:
* excess energy over the best structure of this formula in the dataset: 0.0 kJ per mole of atoms
* DOS at the Fermi energy: 1.34 states/eV/atom
* magnetization: 0.0 μB/f.u.
* DFT formation energy: 1251 meV/atom
* VASP energy: -5.519 eV/atom

Lattice parameters (Å, degrees): 3.8722 3.8722 3.8722 90.00 90.00 90.00
Fractional coordinates of all 5 atoms:
Mn  0.0000  0.0000  0.0000
B  0.0000  0.0000  0.5000
B  0.0000  0.5000  0.0000
B  0.5000  0.0000  0.0000
As  0.5000  0.5000  0.5000


The following is a DFT calculation (PBE) of MnBMo2As after structural relaxation.

Computed properties:
* DOS at the Fermi energy: 1.23 states/eV/atom
* magnetization: 0.0 μB/f.u.
* DFT formation energy: 1666 meV/atom
* VASP energy: -6.766 eV/atom

Lattice parameters (Å, degrees): 4.4987 4.4987 4.2168 90.00 90.00 90.00
Fractional coordinates of all 5 atoms:
Mn  0.0000  0.0000  0.0000
B  0.5000  0.5000  0.5000
Mo  0.0000  0.5000  0.0000
Mo  0.5000  0.0000  0.0000
As  0.0000  0.0000  0.5000


Q: VASP energy of number 2 (MnB3As)?
A: -5.519 eV/atom


Q: Among the records above, which one has the lowest VASP energy?
A: Mn2BAs